Here is a geometry-optimized CoTePb2O6 structure from the Open Quantum Materials Database. Energies are from PBE with a Hubbard U.

It has space group I4/mmm (No. 139), with a = 5.6858 Å, b = 5.6858 Å, c = 7.9278 Å, α = 90.00°, β = 90.00° and γ = 90.00°. The inequivalent atoms are Co at (0.0000, 0.0000, 0.0000), Te at (0.0000, 0.0000, 0.5000), Pb at (0.0000, 0.5000, 0.2500), O at (0.0000, 0.0000, 0.2551) and O at (0.2405, 0.2405, 0.5000).

For the energy relative to the lowest polymorph listed for this composition, the calculation gives 87 meV per atom. For the total energy, the calculation gives -5.53 eV/atom. Its total magnetic moment is 0.300 μB per atom. The calculated volume comes out at 12.8 Å³/atom.